[1]
FeCuSb2: single point on PBEsol structure, meta-GGA SCAN.

Structure (CIF):
```
data_FeCuSb2
_space_group_name_H-M_alt 'F m -3 m'
_space_group_IT_number 225
_space_group_name_Hall '-F 4 2 3'
_cell_length_a 6.473
_cell_length_b 6.473
_cell_length_c 6.473
_cell_angle_alpha 90.00
_cell_angle_beta 90.00
_cell_angle_gamma 90.00
loop_
_atom_site_label
_atom_site_type_symbol
_atom_site_fract_x
_atom_site_fract_y
_atom_site_fract_z
Fe1 Fe 0.000 0.000 0.000
Cu1 Cu 0.000 0.000 0.500
Sb1 Sb 0.250 0.250 0.250
```

## Properties
- Formation energy from raw total energies: 0.48 eV per atom

=====

[2]
VPO5: single point on PBEsol structure, meta-GGA SCAN.

Structure (CIF):
```
data_VPO5
_space_group_name_H-M_alt 'P 1 21/c 1'
_space_group_IT_number 14
_cell_length_a 7.227
_cell_length_b 7.001
_cell_length_c 7.557
_cell_angle_alpha 90.00
_cell_angle_beta 121.38
_cell_angle_gamma 90.00
loop_
_space_group_symop_operation_xyz
'x,y,z'
'-x,-y,-z'
'-x,y+1/2,-z+1/2'
'x,-y+1/2,z+1/2'
loop_
_atom_site_label
_atom_site_type_symbol
_atom_site_fract_x
_atom_site_fract_y
_atom_site_fract_z
V1 V 0.250 0.234 0.043
P1 P 0.249 0.624 0.254
O1 O 0.051 0.745 0.655
O2 O 0.245 0.006 0.585
O3 O 0.250 0.162 0.243
O4 O 0.252 0.503 0.426
O5 O 0.450 0.748 0.849
```

## Properties
- ΔE to the lowest computed polymorph: 3.0 meV/atom
- Formation energy from raw total energies: -2.48 eV per atom

=====

[3]
ZnAg2Os: single point on PBEsol structure, meta-GGA SCAN.

Structure (CIF):
```
data_ZnAg2Os
_space_group_name_H-M_alt 'P 4 m m'
_space_group_IT_number 99
_cell_length_a 2.702
_cell_length_b 2.702
_cell_length_c 8.212
_cell_angle_alpha 90.00
_cell_angle_beta 90.00
_cell_angle_gamma 90.00
loop_
_space_group_symop_operation_xyz
'x,y,z'
'-y,x,z'
'-x,-y,z'
'y,-x,z'
'-x,y,z'
'y,x,z'
'x,-y,z'
'-y,-x,z'
loop_
_atom_site_label
_atom_site_type_symbol
_atom_site_fract_x
_atom_site_fract_y
_atom_site_fract_z
Zn1 Zn 0.000 0.000 0.000
Ag1 Ag 0.000 0.000 0.513
Ag2 Ag 0.500 0.500 0.244
Os1 Os 0.500 0.500 0.772
```

## Properties
- Energy relative to the elements: 1.357 eV/f.u.

=====

[4]
TeIr: single point on PBEsol structure, meta-GGA SCAN.

Structure (CIF):
```
data_TeIr
_space_group_name_H-M_alt 'P n m a'
_space_group_IT_number 62
_cell_length_a 7.828
_cell_length_b 3.774
_cell_length_c 5.246
_cell_angle_alpha 90.00
_cell_angle_beta 90.00
_cell_angle_gamma 90.00
loop_
_space_group_symop_operation_xyz
'x,y,z'
'-x,-y,-z'
'-x+1/2,-y,z+1/2'
'x+1/2,y,-z+1/2'
'x+1/2,-y+1/2,-z+1/2'
'-x+1/2,y+1/2,z+1/2'
'-x,y+1/2,-z'
'x,-y+1/2,z'
loop_
_atom_site_label
_atom_site_type_symbol
_atom_site_fract_x
_atom_site_fract_y
_atom_site_fract_z
Te1 Te 0.170 0.250 0.137
Ir1 Ir 0.093 0.250 0.632
```

## Properties
- Formation energy from raw total energies: 0.07 eV per atom

=====

[5]
NaLa2Tl: single point on PBEsol structure, meta-GGA SCAN.

Structure (CIF):
```
data_NaLa2Tl
_space_group_name_H-M_alt 'F m -3 m'
_space_group_IT_number 225
_space_group_name_Hall '-F 4 2 3'
_cell_length_a 7.868
_cell_length_b 7.868
_cell_length_c 7.868
_cell_angle_alpha 90.00
_cell_angle_beta 90.00
_cell_angle_gamma 90.00
loop_
_atom_site_label
_atom_site_type_symbol
_atom_site_fract_x
_atom_site_fract_y
_atom_site_fract_z
Na1 Na 0.000 0.000 0.000
La1 La 0.250 0.250 0.250
Tl1 Tl 0.000 0.000 0.500
```

## Properties
- Energy relative to the elements: -1.112 eV/f.u.

=====

[6]
KTePI2: single point on PBEsol structure, meta-GGA SCAN.

Structure (CIF):
```
data_KTePI2
_space_group_name_H-M_alt 'P 4/m m m'
_space_group_IT_number 123
_space_group_name_Hall '-P 4 2'
_cell_length_a 6.448
_cell_length_b 6.448
_cell_length_c 6.409
_cell_angle_alpha 90.00
_cell_angle_beta 90.00
_cell_angle_gamma 90.00
loop_
_atom_site_label
_atom_site_type_symbol
_atom_site_fract_x
_atom_site_fract_y
_atom_site_fract_z
K1 K 0.000 0.000 0.000
Te1 Te 0.000 0.000 0.500
P1 P 0.500 0.500 0.500
I1 I 0.000 0.500 0.000
```

## Properties
- Formation energy from raw total energies: 0.74 eV per atom

=====

[7]
NaLiPb2: single point on PBEsol structure, meta-GGA SCAN.

Structure (CIF):
```
data_NaLiPb2
_space_group_name_H-M_alt 'F m -3 m'
_space_group_IT_number 225
_space_group_name_Hall '-F 4 2 3'
_cell_length_a 7.305
_cell_length_b 7.305
_cell_length_c 7.305
_cell_angle_alpha 90.00
_cell_angle_beta 90.00
_cell_angle_gamma 90.00
loop_
_atom_site_label
_atom_site_type_symbol
_atom_site_fract_x
_atom_site_fract_y
_atom_site_fract_z
Na1 Na 0.000 0.000 0.000
Li1 Li 0.000 0.000 0.500
Pb1 Pb 0.250 0.250 0.250
```

## Properties
- Energy relative to the elements: -1.275 eV/f.u.

=====

[8]
TiCo2: single point on PBEsol structure, meta-GGA SCAN.

Structure (CIF):
```
data_TiCo2
_space_group_name_H-M_alt 'P 63/m m c'
_space_group_IT_number 194
_space_group_name_Hall '-P 6c 2c'
_cell_length_a 4.6389
_cell_length_b 4.6389
_cell_length_c 7.5413
_cell_angle_alpha 90.00
_cell_angle_beta 90.00
_cell_angle_gamma 120.00
loop_
_atom_site_label
_atom_site_type_symbol
_atom_site_fract_x
_atom_site_fract_y
_atom_site_fract_z
Ti1 Ti 0.3333 0.6667 0.0665
Co1 Co 0.0000 0.0000 0.0000
Co2 Co 0.1696 0.3393 0.7500
```

## Properties
- Energy relative to the elements: -0.723 eV/f.u.

=====

[9]
LiCu3Ag: single point on PBEsol structure, meta-GGA SCAN.

Structure (CIF):
```
data_LiCu3Ag
_space_group_name_H-M_alt 'P m -3 m'
_space_group_IT_number 221
_space_group_name_Hall '-P 4 2 3'
_cell_length_a 4.035
_cell_length_b 4.035
_cell_length_c 4.035
_cell_angle_alpha 90.00
_cell_angle_beta 90.00
_cell_angle_gamma 90.00
loop_
_atom_site_label
_atom_site_type_symbol
_atom_site_fract_x
_atom_site_fract_y
_atom_site_fract_z
Li1 Li 0.000 0.000 0.000
Cu1 Cu 0.000 0.000 0.500
Ag1 Ag 0.500 0.500 0.500
```

## Properties
- Energy relative to the elements: 3.342 eV/f.u.

=====

[10]
MoOs5: single point on PBEsol structure, meta-GGA SCAN.

Structure (CIF):
```
data_MoOs5
_space_group_name_H-M_alt 'P -6 2 m'
_space_group_IT_number 189
_space_group_name_Hall 'P -6 -2'
_cell_length_a 4.7548
_cell_length_b 4.7548
_cell_length_c 4.3271
_cell_angle_alpha 90.00
_cell_angle_beta 90.00
_cell_angle_gamma 120.00
loop_
_atom_site_label
_atom_site_type_symbol
_atom_site_fract_x
_atom_site_fract_y
_atom_site_fract_z
Mo1 Mo 0.0000 0.0000 0.0000
Os1 Os 0.0000 0.6626 0.5000
Os2 Os 0.3333 0.6667 0.0000
```

## Properties
- ΔE to the lowest computed polymorph: 0.0 meV/atom
- Energy relative to the elements: -0.262 eV/f.u.

=====

[11]
YTl2Os: single point on PBEsol structure, meta-GGA SCAN.

Structure (CIF):
```
data_YTl2Os
_space_group_name_H-M_alt 'R -3 m'
_space_group_IT_number 166
_space_group_name_Hall '-R 3 2"'
_cell_length_a 3.2367
_cell_length_b 3.2367
_cell_length_c 28.4960
_cell_angle_alpha 90.00
_cell_angle_beta 90.00
_cell_angle_gamma 120.00
loop_
_atom_site_label
_atom_site_type_symbol
_atom_site_fract_x
_atom_site_fract_y
_atom_site_fract_z
Y1 Y 0.0000 0.0000 0.0000
Tl1 Tl 0.0000 0.0000 0.2406
Os1 Os 0.0000 0.0000 0.5000
```

## Properties
- Energy relative to the elements: 2.129 eV/f.u.

=====

[12]
La2YAs2: single point on PBEsol structure, meta-GGA SCAN.

Structure (CIF):
```
data_La2YAs2
_space_group_name_H-M_alt 'I 4/m m m'
_space_group_IT_number 139
_space_group_name_Hall '-I 4 2'
_cell_length_a 4.310
_cell_length_b 4.310
_cell_length_c 13.742
_cell_angle_alpha 90.00
_cell_angle_beta 90.00
_cell_angle_gamma 90.00
loop_
_atom_site_label
_atom_site_type_symbol
_atom_site_fract_x
_atom_site_fract_y
_atom_site_fract_z
La1 La 0.000 0.500 0.250
Y1 Y 0.000 0.000 0.000
As1 As 0.000 0.000 0.406
```

## Properties
- ΔE to the lowest computed polymorph: 550.5 meV/atom
- Energy relative to the elements: -4.177 eV/f.u.

=====

[13]
Ba3AgO: single point on PBEsol structure, meta-GGA SCAN.

Structure (CIF):
```
data_Ba3AgO
_space_group_name_H-M_alt 'P m -3 m'
_space_group_IT_number 221
_space_group_name_Hall '-P 4 2 3'
_cell_length_a 5.423
_cell_length_b 5.423
_cell_length_c 5.423
_cell_angle_alpha 90.00
_cell_angle_beta 90.00
_cell_angle_gamma 90.00
loop_
_atom_site_label
_atom_site_type_symbol
_atom_site_fract_x
_atom_site_fract_y
_atom_site_fract_z
Ba1 Ba 0.000 0.000 0.500
Ag1 Ag 0.500 0.500 0.500
O1 O 0.000 0.000 0.000
```

## Properties
- Formation energy from raw total energies: -1.12 eV per atom

=====

[14]
FeReSi: single point on PBEsol structure, meta-GGA SCAN.

Structure (CIF):
```
data_FeReSi
_space_group_name_H-M_alt 'I 4 m m'
_space_group_IT_number 107
_space_group_name_Hall 'I 4 -2'
_cell_length_a 2.807
_cell_length_b 2.807
_cell_length_c 9.042
_cell_angle_alpha 90.00
_cell_angle_beta 90.00
_cell_angle_gamma 90.00
loop_
_atom_site_label
_atom_site_type_symbol
_atom_site_fract_x
_atom_site_fract_y
_atom_site_fract_z
Fe1 Fe 0.000 0.000 0.000
Re1 Re 0.000 0.000 0.684
Si1 Si 0.000 0.000 0.361
```

## Properties
- Formation energy from raw total energies: -0.12 eV per atom

=====

[15]
TlSi4Se: single point on PBEsol structure, meta-GGA SCAN.

Structure (CIF):
```
data_TlSi4Se
_space_group_name_H-M_alt 'F -4 3 m'
_space_group_IT_number 216
_space_group_name_Hall 'F -4 2 3'
_cell_length_a 7.575
_cell_length_b 7.575
_cell_length_c 7.575
_cell_angle_alpha 90.00
_cell_angle_beta 90.00
_cell_angle_gamma 90.00
loop_
_atom_site_label
_atom_site_type_symbol
_atom_site_fract_x
_atom_site_fract_y
_atom_site_fract_z
Tl1 Tl 0.000 0.000 0.000
Si1 Si 0.125 0.125 0.625
Se1 Se 0.250 0.250 0.250
```

## Properties
- Formation energy from raw total energies: 0.75 eV per atom

=====

[16]
AlGaPt3: single point on PBEsol structure, meta-GGA SCAN.

Structure (CIF):
```
data_AlGaPt3
_space_group_name_H-M_alt 'P m -3 m'
_space_group_IT_number 221
_space_group_name_Hall '-P 4 2 3'
_cell_length_a 4.536
_cell_length_b 4.536
_cell_length_c 4.536
_cell_angle_alpha 90.00
_cell_angle_beta 90.00
_cell_angle_gamma 90.00
loop_
_atom_site_label
_atom_site_type_symbol
_atom_site_fract_x
_atom_site_fract_y
_atom_site_fract_z
Al1 Al 0.000 0.000 0.000
Ga1 Ga 0.500 0.500 0.500
Pt1 Pt 0.000 0.500 0.500
```

## Properties
- Energy relative to the elements: 2.321 eV/f.u.

=====

[17]
Tl2InSe: single point on PBEsol structure, meta-GGA SCAN.

Structure (CIF):
```
data_Tl2InSe
_space_group_name_H-M_alt 'P 4 m m'
_space_group_IT_number 99
_cell_length_a 3.774
_cell_length_b 3.774
_cell_length_c 7.378
_cell_angle_alpha 90.00
_cell_angle_beta 90.00
_cell_angle_gamma 90.00
loop_
_space_group_symop_operation_xyz
'x,y,z'
'-y,x,z'
'-x,-y,z'
'y,-x,z'
'-x,y,z'
'y,x,z'
'x,-y,z'
'-y,-x,z'
loop_
_atom_site_label
_atom_site_type_symbol
_atom_site_fract_x
_atom_site_fract_y
_atom_site_fract_z
Tl1 Tl 0.000 0.000 0.000
Tl2 Tl 0.500 0.500 0.288
In1 In 0.000 0.000 0.552
Se1 Se 0.500 0.500 0.734
```

## Properties
- ΔE to the lowest computed polymorph: 55.8 meV/atom
- Formation energy from raw total energies: -0.19 eV per atom

=====

[18]
ScNiP3: single point on PBEsol structure, meta-GGA SCAN.

Structure (CIF):
```
data_ScNiP3
_space_group_name_H-M_alt 'P m -3 m'
_space_group_IT_number 221
_space_group_name_Hall '-P 4 2 3'
_cell_length_a 4.767
_cell_length_b 4.767
_cell_length_c 4.767
_cell_angle_alpha 90.00
_cell_angle_beta 90.00
_cell_angle_gamma 90.00
loop_
_atom_site_label
_atom_site_type_symbol
_atom_site_fract_x
_atom_site_fract_y
_atom_site_fract_z
Sc1 Sc 0.000 0.000 0.000
Ni1 Ni 0.500 0.500 0.500
P1 P 0.000 0.000 0.500
```

## Properties
- Energy relative to the elements: 5.007 eV/f.u.

=====

[19]
CuHgAsRh2: single point on PBEsol structure, meta-GGA SCAN.

Structure (CIF):
```
data_CuHgAsRh2
_space_group_name_H-M_alt 'P 4/m m m'
_space_group_IT_number 123
_space_group_name_Hall '-P 4 2'
_cell_length_a 4.927
_cell_length_b 4.927
_cell_length_c 4.812
_cell_angle_alpha 90.00
_cell_angle_beta 90.00
_cell_angle_gamma 90.00
loop_
_atom_site_label
_atom_site_type_symbol
_atom_site_fract_x
_atom_site_fract_y
_atom_site_fract_z
Cu1 Cu 0.000 0.000 0.000
Hg1 Hg 0.500 0.500 0.500
As1 As 0.500 0.500 0.000
Rh1 Rh 0.000 0.500 0.500
```

## Properties
- Energy relative to the elements: 8.819 eV/f.u.

=====

[20]
SrLiAu4: single point on PBEsol structure, meta-GGA SCAN.

Structure (CIF):
```
data_SrLiAu4
_space_group_name_H-M_alt 'F -4 3 m'
_space_group_IT_number 216
_space_group_name_Hall 'F -4 2 3'
_cell_length_a 7.859
_cell_length_b 7.859
_cell_length_c 7.859
_cell_angle_alpha 90.00
_cell_angle_beta 90.00
_cell_angle_gamma 90.00
loop_
_atom_site_label
_atom_site_type_symbol
_atom_site_fract_x
_atom_site_fract_y
_atom_site_fract_z
Sr1 Sr 0.000 0.000 0.000
Li1 Li 0.250 0.250 0.750
Au1 Au 0.124 0.124 0.376
```

## Properties
- Energy relative to the elements: -3.727 eV/f.u.

=====

[21]
AlOsRu2: single point on PBEsol structure, meta-GGA SCAN.

Structure (CIF):
```
data_AlOsRu2
_space_group_name_H-M_alt 'I m m 2'
_space_group_IT_number 44
_cell_length_a 2.874
_cell_length_b 4.342
_cell_length_c 8.641
_cell_angle_alpha 90.00
_cell_angle_beta 90.00
_cell_angle_gamma 90.00
loop_
_space_group_symop_operation_xyz
'x,y,z'
'-x,-y,z'
'-x,y,z'
'x,-y,z'
'x+1/2,y+1/2,z+1/2'
'-x+1/2,-y+1/2,z+1/2'
'-x+1/2,y+1/2,z+1/2'
'x+1/2,-y+1/2,z+1/2'
loop_
_atom_site_label
_atom_site_type_symbol
_atom_site_fract_x
_atom_site_fract_y
_atom_site_fract_z
Al1 Al 0.000 0.000 0.000
Os1 Os 0.000 0.500 0.737
Ru1 Ru 0.000 0.000 0.499
Ru2 Ru 0.000 0.500 0.270
```

## Properties
- Energy relative to the elements: -0.744 eV/f.u.

=====

[22]
TiV3Sn2P6O24: single point on PBEsol structure, meta-GGA SCAN.

Structure (CIF):
```
data_TiV3Sn2P6O24
_space_group_name_H-M_alt 'R 3'
_space_group_IT_number 146
_space_group_name_Hall 'R 3'
_cell_length_a 8.4952
_cell_length_b 8.4952
_cell_length_c 22.4329
_cell_angle_alpha 90.00
_cell_angle_beta 90.00
_cell_angle_gamma 120.00
loop_
_atom_site_label
_atom_site_type_symbol
_atom_site_fract_x
_atom_site_fract_y
_atom_site_fract_z
Ti1 Ti 0.0000 0.0000 0.0000
V1 V 0.0000 0.0000 0.2053
V2 V 0.0000 0.0000 0.5005
V3 V 0.0000 0.0000 0.7037
Sn1 Sn 0.0000 0.0000 0.3478
Sn2 Sn 0.0000 0.0000 0.8432
P1 P 0.9995 0.2858 0.1046
P2 P 0.0492 0.6677 0.2701
O1 O 0.0199 0.1971 0.0477
O2 O 0.0220 0.1862 0.7646
O3 O 0.0304 0.8399 0.2639
O4 O 0.0320 0.8283 0.5471
O5 O 0.1628 0.4601 0.8274
O6 O 0.1633 0.7000 0.3267
O7 O 0.1652 0.6896 0.6122
O8 O 0.1725 0.4729 0.1104
```

## Properties
- Formation energy from raw total energies: -2.48 eV per atom